A relaxed structure of LiCa2HgPt. Source: the Alexandria database, functional GGA-PBE.

Cell and atoms, written as extended XYZ:
```
5
Lattice="5.5151 0.0000 0.0000 0.0000 5.5151 0.0000 0.0000 0.0000 4.7505" Properties=species:S:1:pos:R:3 pbc="T T T"
Li 0.0000 0.0000 0.0000
Ca 0.0000 2.7576 2.3753
Ca 2.7576 0.0000 2.3753
Hg 2.7576 2.7576 0.0000
Pt 0.0000 0.0000 2.3753
```

Output
* DFT formation energy: -10.6 kcal/mol of atoms
* crystal system: tetragonal
* electronic total energy: -14.6 eV/cell